SmCdSi (PBE, relaxed); crystal system = cubic; symmetry = No. 216; E_tot = -4.0045 eV per atom
1.0
0.000 3.327 3.327
3.327 0.000 3.327
3.327 3.327 0.000
Sm Cd Si
1 1 1
direct
0.000 0.000 0.000 Sm
0.500 0.500 0.500 Cd
0.750 0.750 0.750 Si


Tm5Pt2Pb2 (PBE, relaxed); crystal system = orthorhombic; symmetry = No. 64; E_tot = -5.4943 eV per atom
1.0
7.673 -4.183 0.000
7.673 4.183 0.000
0.000 0.000 7.280
Tm Pt Pb
10 4 4
direct
0.000 0.000 0.000 Tm
0.059 0.704 0.653 Tm
0.204 0.559 0.153 Tm
0.296 0.941 0.653 Tm
0.441 0.796 0.153 Tm
0.500 0.500 0.500 Tm
0.559 0.204 0.847 Tm
0.704 0.059 0.347 Tm
0.796 0.441 0.847 Tm
0.941 0.296 0.347 Tm
0.128 0.872 0.361 Pt
0.372 0.628 0.861 Pt
0.628 0.372 0.139 Pt
0.872 0.128 0.639 Pt
0.214 0.214 0.000 Pb
0.286 0.286 0.500 Pb
0.714 0.714 0.500 Pb
0.786 0.786 0.000 Pb


NaTaF6 (PBE, relaxed); crystal system = tetragonal; symmetry = No. 132; E_tot = -6.2039 eV per atom
1.0
4.711 0.000 0.000
0.000 4.711 0.000
0.000 0.000 8.796
Na Ta F
2 2 12
direct
0.000 0.000 0.250 Na
0.000 0.000 0.750 Na
0.500 0.500 0.000 Ta
0.500 0.500 0.500 Ta
0.212 0.212 0.000 F
0.212 0.788 0.500 F
0.295 0.295 0.349 F
0.295 0.295 0.651 F
0.295 0.705 0.151 F
0.295 0.705 0.849 F
0.705 0.295 0.151 F
0.705 0.295 0.849 F
0.705 0.705 0.349 F
0.705 0.705 0.651 F
0.788 0.212 0.500 F
0.788 0.788 0.000 F


PaCoTc (PBE, relaxed); crystal system = cubic; symmetry = No. 216; ΔE_f = 0.15 eV/atom
1.0
0.000 3.010 3.010
3.010 0.000 3.010
3.010 3.010 0.000
Pa Co Tc
1 1 1
direct
0.000 0.000 0.000 Pa
0.250 0.250 0.250 Co
0.500 0.500 0.500 Tc